1.
Sc4HCN2 (GGA-PBE, relaxed); SG = I4/mmm, No. 139
1.0
-0.770 -1.050 -4.362
0.286 -4.428 1.016
-4.297 2.636 2.499
Sc H C N
4 1 1 2
Cartesian
-0.597 -2.921 -3.644
-0.068 -4.610 -0.955
-2.116 0.295 0.601
-2.604 -2.450 -1.027
-0.211 -2.395 -1.463
-0.453 -5.135 -3.136
-2.096 -1.922 1.131
-2.624 -0.233 -1.558

---

2.
Sc6HC2N3 (GGA-PBE, relaxed); SG = C2/m, No. 12
1.0
3.245 0.000 0.000
0.000 6.546 0.203
-1.622 -1.920 6.785
Sc H C N
6 1 2 3
Cartesian
0.000 4.725 4.613
1.622 3.166 2.382
1.622 -0.099 2.375
1.622 -0.140 6.826
0.000 4.766 0.162
0.000 1.461 4.606
1.622 0.000 0.000
1.622 3.136 4.743
0.000 1.490 2.245
1.622 3.273 0.102
1.622 -0.214 4.610
0.000 4.840 2.378

---

Short version: V = 95.64; 145.38 Å³/cell, in the order given.
Short version: DFT total energy = -8.0278; -8.2794 eV per atom, in the order given.